# AcNdCu, optimized geometry, DFT PBE
data_AcNdCu
_chemical_formula_sum 'Ac4 Nd4 Cu4'
_cell_length_a 7.3102
_cell_length_b 7.3102
_cell_length_c 7.3102
_cell_angle_alpha 90.00
_cell_angle_beta 90.00
_cell_angle_gamma 90.00
_symmetry_space_group_name_H-M 'F -4 3 m'
_symmetry_Int_Tables_number 216
_symmetry_space_group_name_Hall 'F -4 2 3'
loop_
_atom_site_label
_atom_site_type_symbol
_atom_site_fract_x
_atom_site_fract_y
_atom_site_fract_z
Ac1 Ac 0.0000 0.0000 0.0000
Nd1 Nd 0.0000 0.0000 0.5000
Cu1 Cu 0.2500 0.2500 0.2500
# Calculated density, kg/m³: 7393
# Crystal system: cubic
# Formation energy, kJ per mole of atoms: 14.4
# Energy above the lowest structure with this stoichiometry, eV per formula unit: 0.58

=====

# ZrMoSe2, optimized geometry, DFT PBE
data_ZrMoSe2
_chemical_formula_sum 'Zr3 Mo3 Se6'
_cell_length_a 3.4250
_cell_length_b 3.4250
_cell_length_c 26.0256
_cell_angle_alpha 90.00
_cell_angle_beta 90.00
_cell_angle_gamma 120.00
_symmetry_space_group_name_H-M 'R 3 m'
_symmetry_Int_Tables_number 160
_symmetry_space_group_name_Hall 'R 3 -2"'
loop_
_atom_site_label
_atom_site_type_symbol
_atom_site_fract_x
_atom_site_fract_y
_atom_site_fract_z
Zr1 Zr 0.0000 0.0000 0.0000
Mo1 Mo 0.0000 0.0000 0.2475
Se1 Se 0.0000 0.0000 0.5196
Se2 Se 0.0000 0.0000 0.7347
# Calculated density, kg/m³: 6502
# Crystal system: trigonal
# Energy above the lowest structure with this stoichiometry, eV per formula unit: 0.36
# E_form (uncorrected), kcal/mol of atoms: -11.55

=====

# CeH2Br8, optimized geometry, DFT PBE
data_CeH2Br8
_chemical_formula_sum 'Ce2 H4 Br16'
_cell_length_a 11.4868
_cell_length_b 9.4013
_cell_length_c 7.8161
_cell_angle_alpha 90.00
_cell_angle_beta 96.94
_cell_angle_gamma 90.00
_symmetry_space_group_name_H-M 'C 1 2/m 1'
_symmetry_Int_Tables_number 12
_symmetry_space_group_name_Hall '-C 2y'
loop_
_atom_site_label
_atom_site_type_symbol
_atom_site_fract_x
_atom_site_fract_y
_atom_site_fract_z
Ce1 Ce 0.0000 0.0000 0.0000
H1 H 0.1779 0.5000 0.2333
Br1 Br 0.0567 0.5000 0.2654
Br2 Br 0.1020 0.1559 0.7404
Br3 Br 0.2096 0.0000 0.2011
# Total DFT energy (no corrections), eV/atom: -3.000
# Calculated density, kg/m³: 3097
# Crystal system: monoclinic

=====

# Ca6Ni2Sn, optimized geometry, DFT PBE
data_Ca6Ni2Sn
_chemical_formula_sum 'Ca24 Ni8 Sn4'
_cell_length_a 9.7380
_cell_length_b 9.8685
_cell_length_c 10.5897
_cell_angle_alpha 90.00
_cell_angle_beta 90.00
_cell_angle_gamma 90.00
_symmetry_space_group_name_H-M 'I m m m'
_symmetry_Int_Tables_number 71
_symmetry_space_group_name_Hall '-I 2 2'
loop_
_atom_site_label
_atom_site_type_symbol
_atom_site_fract_x
_atom_site_fract_y
_atom_site_fract_z
Ca1 Ca 0.0000 0.2051 0.2359
Ca2 Ca 0.1959 0.5000 0.1760
Ca3 Ca 0.2110 0.3158 0.5000
Ni1 Ni 0.0000 0.3783 0.0000
Ni2 Ni 0.0000 0.5000 0.3889
Sn1 Sn 0.0000 0.0000 0.0000
Sn2 Sn 0.0000 0.0000 0.5000
# Calculated density, kg/m³: 3111
# Crystal system: orthorhombic
# Formation energy, kJ per mole of atoms: -25.4

=====

# Pa3As3H2, optimized geometry, DFT PBE
data_Pa3As3H2
_chemical_formula_sum 'Pa12 As12 H8'
_cell_length_a 3.9422
_cell_length_b 10.5858
_cell_length_c 14.0804
_cell_angle_alpha 90.00
_cell_angle_beta 90.00
_cell_angle_gamma 90.00
_symmetry_space_group_name_H-M 'C m c m'
_symmetry_Int_Tables_number 63
_symmetry_space_group_name_Hall '-C 2c 2'
loop_
_atom_site_label
_atom_site_type_symbol
_atom_site_fract_x
_atom_site_fract_y
_atom_site_fract_z
Pa1 Pa 0.0000 0.1410 0.0514
Pa2 Pa 0.0000 0.1516 0.7500
As1 As 0.0000 0.1384 0.2500
As2 As 0.0000 0.4265 0.1046
H1 H 0.0000 0.2628 0.5945
# Total DFT energy (no corrections), eV/atom: -6.903
# Calculated density, kg/m³: 10399
# Crystal system: orthorhombic

=====

# KRbB2I8, optimized geometry, DFT PBE
data_KRbB2I8
_chemical_formula_sum 'K3 Rb3 B6 I24'
_cell_length_a 7.4203
_cell_length_b 7.4203
_cell_length_c 32.7126
_cell_angle_alpha 90.00
_cell_angle_beta 90.00
_cell_angle_gamma 120.00
_symmetry_space_group_name_H-M 'R -3'
_symmetry_Int_Tables_number 148
_symmetry_space_group_name_Hall '-R 3'
loop_
_atom_site_label
_atom_site_type_symbol
_atom_site_fract_x
_atom_site_fract_y
_atom_site_fract_z
K1 K 0.0000 0.0000 0.0000
Rb1 Rb 0.0000 0.0000 0.5000
B1 B 0.0000 0.0000 0.2431
I1 I 0.0000 0.0000 0.1743
I2 I 0.0198 0.6076 0.9324
# Calculated density, kg/m³: 3709
# Crystal system: trigonal
# E_form (uncorrected), kcal/mol of atoms: -12.09

=====

# Ho4SeS5, optimized geometry, DFT PBE
data_Ho4SeS5
_chemical_formula_sum 'Ho8 Se2 S10'
_cell_length_a 17.1327
_cell_length_b 3.9748
_cell_length_c 8.0869
_cell_angle_alpha 90.00
_cell_angle_beta 107.17
_cell_angle_gamma 90.00
_symmetry_space_group_name_H-M 'C 1 2/m 1'
_symmetry_Int_Tables_number 12
_symmetry_space_group_name_Hall '-C 2y'
loop_
_atom_site_label
_atom_site_type_symbol
_atom_site_fract_x
_atom_site_fract_y
_atom_site_fract_z
Ho1 Ho 0.0040 0.0000 0.2693
Ho2 Ho 0.1844 0.5000 0.1302
Se1 Se 0.0000 0.5000 0.0000
S1 S 0.0000 0.5000 0.5000
S2 S 0.1609 0.0000 0.8777
S3 S 0.1623 0.0000 0.3311
# Calculated density, kg/m³: 5674
# Crystal system: monoclinic
# E_form (uncorrected), kcal/mol of atoms: -45.52

=====

# Sr8Li3Ca2, optimized geometry, DFT PBE
data_Sr8Li3Ca2
_chemical_formula_sum 'Sr8 Li3 Ca2'
_cell_length_a 9.6228
_cell_length_b 6.2635
_cell_length_c 10.9815
_cell_angle_alpha 90.00
_cell_angle_beta 112.13
_cell_angle_gamma 90.00
_symmetry_space_group_name_H-M 'P 1 2/m 1'
_symmetry_Int_Tables_number 10
_symmetry_space_group_name_Hall '-P 2y'
loop_
_atom_site_label
_atom_site_type_symbol
_atom_site_fract_x
_atom_site_fract_y
_atom_site_fract_z
Sr1 Sr 0.0951 0.0000 0.3562
Sr2 Sr 0.1083 0.5000 0.8805
Sr3 Sr 0.3601 0.5000 0.2853
Sr4 Sr 0.3893 0.0000 0.8004
Li1 Li 0.1762 0.0000 0.0546
Li2 Li 0.5000 0.5000 0.0000
Ca1 Ca 0.1995 0.5000 0.5770
# Calculated density, kg/m³: 2172
# Crystal system: monoclinic
# Formation energy, kJ per mole of atoms: 8.5

=====

# Sr2Al4Cu3Au, optimized geometry, DFT PBE
data_Sr2Al4Cu3Au
_chemical_formula_sum 'Sr2 Al4 Cu3 Au1'
_cell_length_a 4.3281
_cell_length_b 4.3281
_cell_length_c 10.7114
_cell_angle_alpha 90.00
_cell_angle_beta 90.00
_cell_angle_gamma 90.00
_symmetry_space_group_name_H-M 'P -4 m 2'
_symmetry_Int_Tables_number 115
_symmetry_space_group_name_Hall 'P -4 -2'
loop_
_atom_site_label
_atom_site_type_symbol
_atom_site_fract_x
_atom_site_fract_y
_atom_site_fract_z
Sr1 Sr 0.0000 0.5000 0.2469
Al1 Al 0.0000 0.0000 0.0000
Al2 Al 0.0000 0.5000 0.6297
Al3 Al 0.5000 0.5000 0.0000
Cu1 Cu 0.0000 0.5000 0.8715
Cu2 Cu 0.5000 0.5000 0.5000
Au1 Au 0.0000 0.0000 0.5000
# Calculated density, kg/m³: 5551
# Crystal system: tetragonal
# Formation energy, kJ per mole of atoms: -31.3

=====

# VBAu2N, optimized geometry, DFT PBE
data_VBAu2N
_chemical_formula_sum 'V1 B1 Au2 N1'
_cell_length_a 4.1777
_cell_length_b 4.1777
_cell_length_c 4.2672
_cell_angle_alpha 90.00
_cell_angle_beta 90.00
_cell_angle_gamma 90.00
_symmetry_space_group_name_H-M 'P 4/m m m'
_symmetry_Int_Tables_number 123
_symmetry_space_group_name_Hall '-P 4 2'
loop_
_atom_site_label
_atom_site_type_symbol
_atom_site_fract_x
_atom_site_fract_y
_atom_site_fract_z
V1 V 0.0000 0.0000 0.0000
B1 B 0.0000 0.0000 0.5000
Au1 Au 0.0000 0.5000 0.5000
N1 N 0.5000 0.5000 0.0000
# Calculated density, kg/m³: 10472
# Crystal system: tetragonal
# E_form (uncorrected), kcal/mol of atoms: 28.32

=====

# LiNd3Ag3, optimized geometry, DFT PBE
data_LiNd3Ag3
_chemical_formula_sum 'Li2 Nd6 Ag6'
_cell_length_a 3.6675
_cell_length_b 4.8075
_cell_length_c 20.2166
_cell_angle_alpha 90.00
_cell_angle_beta 90.00
_cell_angle_gamma 90.00
_symmetry_space_group_name_H-M 'I m m 2'
_symmetry_Int_Tables_number 44
_symmetry_space_group_name_Hall 'I 2 -2'
loop_
_atom_site_label
_atom_site_type_symbol
_atom_site_fract_x
_atom_site_fract_y
_atom_site_fract_z
Li1 Li 0.0000 0.0000 0.0000
Nd1 Nd 0.0000 0.0000 0.4279
Nd2 Nd 0.0000 0.5000 0.2421
Nd3 Nd 0.0000 0.5000 0.6285
Ag1 Ag 0.0000 0.0000 0.8723
Ag2 Ag 0.0000 0.5000 0.0683
Ag3 Ag 0.0000 0.5000 0.7925
# Calculated density, kg/m³: 7112
# Crystal system: orthorhombic
# Formation energy, kJ per mole of atoms: -17.1

=====

# TcGePRu, optimized geometry, DFT PBE
data_TcGePRu
_chemical_formula_sum 'Tc4 Ge4 P4 Ru4'
_cell_length_a 5.9892
_cell_length_b 5.9892
_cell_length_c 5.9892
_cell_angle_alpha 90.00
_cell_angle_beta 90.00
_cell_angle_gamma 90.00
_symmetry_space_group_name_H-M 'F -4 3 m'
_symmetry_Int_Tables_number 216
_symmetry_space_group_name_Hall 'F -4 2 3'
loop_
_atom_site_label
_atom_site_type_symbol
_atom_site_fract_x
_atom_site_fract_y
_atom_site_fract_z
Tc1 Tc 0.0000 0.0000 0.0000
Ge1 Ge 0.2500 0.2500 0.7500
P1 P 0.2500 0.2500 0.2500
Ru1 Ru 0.0000 0.0000 0.5000
# Calculated density, kg/m³: 9358
# Crystal system: cubic
# Formation energy, kJ per mole of atoms: -23.0

=====

Q: Look up the calculated density of the tenth one.
A: 10472 kg/m³